No. 1
Computed, not measured: a relaxed structure of SbPt at the PBE level of DFT.

Lattice parameters (Å, degrees): 6.2212 6.2212 6.2212 42.87 42.87 42.87
Element x y z (fractional)
Sb 0.7605 0.7605 0.7605
Sb 0.2395 0.2395 0.2395
Pt 0.9193 0.9193 0.9193
Pt 0.0807 0.0807 0.0807

E_form (uncorrected), eV/atom: -0.2299
Calculated volume, A^3/atom: 25.24
ρ, g/cm³: 10.4

---

No. 2
Computed, not measured: a relaxed structure of SbPt at the PBE level of DFT.

Lattice parameters (Å, degrees): 7.8422 7.8422 3.5141 90.00 90.00 90.00
Element x y z (fractional)
Pt 0.6274 0.6274 0.0000
Sb 0.2020 0.2020 0.5000
Sb 0.2980 0.7020 0.0000
Sb 0.7980 0.7980 0.5000
Pt 0.3726 0.3726 0.0000
Pt 0.1274 0.8726 0.5000
Sb 0.7020 0.2980 0.0000
Pt 0.8726 0.1274 0.5000

E_form (uncorrected), eV/atom: -0.2101
Calculated volume, A^3/atom: 27.02
ρ, g/cm³: 9.7

---

No. 3
Computed, not measured: a relaxed structure of Sb5Pt4 at the PBE level of DFT.

Lattice parameters (Å, degrees): 6.6219 6.6219 6.6219 98.62 98.62 134.44
Element x y z (fractional)
Sb 0.0000 0.0000 0.0000
Pt 0.6651 0.0000 0.6651
Sb 0.6819 0.6819 0.3638
Sb 0.3181 0.6819 0.0000
Pt 0.3349 0.0000 0.3349
Sb 0.6819 0.3181 0.0000
Pt 0.0000 0.3349 0.3349
Pt 0.0000 0.6651 0.6651
Sb 0.3181 0.3181 0.6362

E_form (uncorrected), eV/atom: 0.0959
Calculated volume, A^3/atom: 21.24
ρ, g/cm³: 12.1

---

No. 4
Computed, not measured: a relaxed structure of Sb2Pt at the PBE level of DFT.

Lattice parameters (Å, degrees): 5.6518 5.6518 5.6518 105.73 105.73 117.25
Element x y z (fractional)
Pt 0.7500 0.7500 0.0000
Sb 0.3347 0.1653 0.5000
Sb 0.6653 0.8347 0.5000
Sb 0.8347 0.3347 0.1693
Pt 0.2500 0.2500 0.0000
Sb 0.1653 0.6653 0.8307

E_form (uncorrected), eV/atom: -0.1057
Calculated volume, A^3/atom: 22.84
ρ, g/cm³: 10.6

---

No. 5
Computed, not measured: a relaxed structure of SbPt4 at the PBE level of DFT.

Lattice parameters (Å, degrees): 3.8834 5.6710 8.5309 109.41 103.16 90.00
Element x y z (fractional)
Pt 0.3108 0.7985 0.6216
Pt 0.0930 0.3430 0.1860
Pt 0.3108 0.3231 0.6216
Pt 0.5000 0.5000 0.0000
Pt 0.6892 0.2015 0.3784
Pt 0.5000 0.0000 0.0000
Sb 0.8902 0.1402 0.7804
Sb 0.1098 0.8598 0.2196
Pt 0.6892 0.6769 0.3784
Pt 0.9070 0.6570 0.8140

E_form (uncorrected), eV/atom: -0.1154
Calculated volume, A^3/atom: 17.20
Relative energy among the computed polymorphs, meV per atom: 0
ρ, g/cm³: 17.4

---

No. 6
Computed, not measured: a relaxed structure of SbPt at the PBE level of DFT.

Lattice parameters (Å, degrees): 4.0885 3.7681 5.4386 90.00 103.67 90.00
Element x y z (fractional)
Sb 0.6788 0.2500 0.2893
Pt 0.8238 0.2500 0.8119
Sb 0.3212 0.7500 0.7107
Pt 0.1762 0.7500 0.1881

E_form (uncorrected), eV/atom: -0.3710
Calculated volume, A^3/atom: 20.35
ρ, g/cm³: 12.9

---

No. 7
Computed, not measured: a relaxed structure of SbPt at the PBE level of DFT.

Lattice parameters (Å, degrees): 3.5049 3.5049 3.2397 90.00 90.00 90.00
Element x y z (fractional)
Sb 0.5000 0.5000 0.5000
Pt 0.0000 0.0000 0.0000

E_form (uncorrected), eV/atom: -0.0990
Calculated volume, A^3/atom: 19.90
ρ, g/cm³: 13.2

---

No. 8
Computed, not measured: a relaxed structure of SbPt5 at the PBE level of DFT.

Lattice parameters (Å, degrees): 6.3429 6.3429 4.1062 90.00 90.00 143.05
Element x y z (fractional)
Pt 0.8028 0.1972 0.5000
Sb 0.1389 0.8611 0.5000
Pt 0.9699 0.0301 0.0000
Pt 0.6389 0.3611 0.0000
Pt 0.3079 0.6921 0.0000
Pt 0.4749 0.5251 0.5000

E_form (uncorrected), eV/atom: -0.1263
Calculated volume, A^3/atom: 16.55
ρ, g/cm³: 18.3

---

No. 9
Computed, not measured: a relaxed structure of SbPt3 at the PBE level of DFT.

Lattice parameters (Å, degrees): 8.6253 8.6253 8.6253 20.85 20.85 20.85
Element x y z (fractional)
Sb 0.0000 0.0000 0.0000
Pt 0.7485 0.7485 0.7485
Pt 0.2515 0.2515 0.2515
Pt 0.5000 0.5000 0.5000

E_form (uncorrected), eV/atom: 0.0729
Calculated volume, A^3/atom: 17.80
ρ, g/cm³: 16.5

---

No. 10
Computed, not measured: a relaxed structure of SbPt at the PBE level of DFT.

Lattice parameters (Å, degrees): 3.6338 3.6338 6.6545 90.00 90.00 90.00
Element x y z (fractional)
Pt 0.2500 0.2500 0.1241
Pt 0.7500 0.7500 0.8759
Sb 0.2500 0.2500 0.7157
Sb 0.7500 0.7500 0.2843

E_form (uncorrected), eV/atom: -0.2400
Calculated volume, A^3/atom: 21.97
ρ, g/cm³: 12.0

---

No. 11
Computed, not measured: a relaxed structure of SbPt5 at the PBE level of DFT.

Lattice parameters (Å, degrees): 5.3236 5.3236 4.5167 90.00 90.00 120.00
Element x y z (fractional)
Pt 0.3333 0.6667 0.0000
Sb 0.0000 0.0000 0.0000
Pt 0.0000 0.5000 0.5000
Pt 0.5000 0.5000 0.5000
Pt 0.6667 0.3333 0.0000
Pt 0.5000 0.0000 0.5000

E_form (uncorrected), eV/atom: 0.0591
Calculated volume, A^3/atom: 18.48
ρ, g/cm³: 16.4

---

No. 12
Computed, not measured: a relaxed structure of SbPt at the PBE level of DFT.

Lattice parameters (Å, degrees): 4.0570 4.0570 3.1228 90.00 90.00 120.00
Element x y z (fractional)
Sb 0.6667 0.3333 0.5000
Pt 0.0000 0.0000 0.0000

E_form (uncorrected), eV/atom: -0.1639
Calculated volume, A^3/atom: 22.26
ρ, g/cm³: 11.8